11
Lattice="2.999 -5.128 0.000 2.999 5.128 0.000 -2.034 0.000 6.892" Properties=species:S:1:pos:R:3 comment="PBE-GGA Cs2Ca2NbO6, relaxed" crystal_system=monoclinic dos_at_fermi_per_ev_cell=9.44 e_tot_ev_per_cell=-70.4 pbc="T T T"
Cs 2.999 3.401 0.000
Cs 2.999 -3.401 0.000
Ca 1.982 1.672 3.446
Ca 1.982 -1.672 3.446
Nb -1.017 0.000 3.446
O -0.163 1.508 4.535
O 0.703 0.000 2.350
O -0.163 -1.508 4.535
O 4.128 1.508 2.357
O 3.262 0.000 4.542
O 4.128 -1.508 2.357